# 1
Material: Pr2Dy3In4
Method: DFT, PBE
State: relaxed Values from VASP.

The structure in Quantum ESPRESSO input format:
```
&SYSTEM
  ibrav = 0, nat = 18, ntyp = 3
/
ATOMIC_SPECIES
In 114.82 In.upf
Pr 140.91 Pr.upf
Dy 162.50 Dy.upf
CELL_PARAMETERS angstrom
7.0797 0.0000 0.0000
0.0000 9.0303 0.0000
-3.5398 0.0000 8.5104
ATOMIC_POSITIONS crystal
In 0.7913 0.2500 0.0826
In 0.8199 0.0391 0.6398
In 0.7087 0.7500 0.9174
In 0.6801 0.5391 0.3602
In 0.3199 0.4609 0.6398
In 0.2087 0.7500 0.9174
In 0.2913 0.2500 0.0826
In 0.1801 0.9609 0.3602
Pr 0.8929 0.4206 0.7858
Pr 0.1071 0.5794 0.2142
Pr 0.3929 0.0794 0.7858
Pr 0.6071 0.9206 0.2142
Dy 0.0283 0.7500 0.5566
Dy 0.0000 0.0000 0.0000
Dy 0.9717 0.2500 0.4434
Dy 0.5283 0.7500 0.5566
Dy 0.4717 0.2500 0.4434
Dy 0.5000 0.5000 0.0000
```

Output
ΔE to the lowest computed polymorph ... 87 meV per atom

***

# 2
Material: Pr6DyIn4
Method: DFT, PBE
State: relaxed Values from VASP.

The structure in Quantum ESPRESSO input format:
```
&SYSTEM
  ibrav = 0, nat = 11, ntyp = 3
/
ATOMIC_SPECIES
Pr 140.91 Pr.upf
In 114.82 In.upf
Dy 162.50 Dy.upf
CELL_PARAMETERS angstrom
8.2754 -0.3489 -0.5131
-4.1355 7.1764 0.5131
-4.1355 -2.1613 6.8625
ATOMIC_POSITIONS crystal
Pr 0.5000 0.5000 0.0000
Pr 0.0000 0.5290 0.9082
Pr 0.5000 0.0000 0.5000
Pr 0.0000 0.9082 0.5290
Pr 0.3792 0.4710 0.4710
Pr 0.6208 0.0918 0.0918
In 0.3180 0.7247 0.7247
In 0.6820 0.4067 0.4067
In 0.0000 0.2753 0.5933
In 0.0000 0.5933 0.2753
Dy 0.0000 0.0000 0.0000
```

***

# 3
Material: Pr2Dy2In3
Method: DFT, PBE
State: relaxed Values from VASP.

The structure in Quantum ESPRESSO input format:
```
&SYSTEM
  ibrav = 0, nat = 7, ntyp = 3
/
ATOMIC_SPECIES
Pr 140.91 Pr.upf
In 114.82 In.upf
Dy 162.50 Dy.upf
CELL_PARAMETERS angstrom
-4.1656 1.5042 -1.4890
-1.4186 -3.0988 0.8384
-4.6131 4.9817 10.6070
ATOMIC_POSITIONS crystal
Pr 0.5722 0.5000 0.8557
Pr 0.4278 0.5000 0.1443
In 0.8490 0.0000 0.3021
In 0.0000 0.0000 0.0000
In 0.1510 0.0000 0.6979
Dy 0.7042 0.5000 0.5916
Dy 0.2958 0.5000 0.4084
```

Output
ΔE to the lowest computed polymorph ... 39 meV per atom

***

# 4
Material: PrDy12In6
Method: DFT, PBE
State: relaxed Values from VASP.

The structure in Quantum ESPRESSO input format:
```
&SYSTEM
  ibrav = 0, nat = 19, ntyp = 3
/
ATOMIC_SPECIES
Dy 162.50 Dy.upf
In 114.82 In.upf
Pr 140.91 Pr.upf
CELL_PARAMETERS angstrom
-8.7372 1.3200 0.2903
1.0177 -5.3566 -6.9597
1.4829 -5.3256 6.8996
ATOMIC_POSITIONS crystal
Dy 0.1786 0.4454 0.4454
Dy 0.8214 0.5546 0.5546
Dy 0.5000 0.8783 0.1217
Dy 0.1217 0.8783 0.5000
Dy 0.1217 0.5000 0.8783
Dy 0.8783 0.5000 0.1217
Dy 0.4454 0.1786 0.4454
Dy 0.8783 0.1217 0.5000
Dy 0.5000 0.1217 0.8783
Dy 0.5546 0.5546 0.8214
Dy 0.5546 0.8214 0.5546
Dy 0.4454 0.4454 0.1786
In 0.2974 0.7560 0.7560
In 0.2440 0.2440 0.7026
In 0.7560 0.7560 0.2974
In 0.7560 0.2974 0.7560
In 0.2440 0.7026 0.2440
In 0.7026 0.2440 0.2440
Pr 0.0000 0.0000 0.0000
```

***

# 5
Material: Pr5Dy2In
Method: DFT, PBE
State: relaxed Values from VASP.

The structure in Quantum ESPRESSO input format:
```
&SYSTEM
  ibrav = 0, nat = 8, ntyp = 3
/
ATOMIC_SPECIES
Pr 140.91 Pr.upf
Dy 162.50 Dy.upf
In 114.82 In.upf
CELL_PARAMETERS angstrom
-2.0793 6.5889 -3.1601
-7.2971 -2.0442 0.5460
4.4649 -0.3844 5.3902
ATOMIC_POSITIONS crystal
Pr 0.6954 0.6954 0.9367
Pr 0.2413 0.2413 0.9366
Pr 0.6952 0.2413 0.9365
Pr 0.7718 0.7718 0.5436
Pr 0.2413 0.6952 0.9365
Dy 0.2197 0.7196 0.4393
Dy 0.7196 0.2197 0.4393
In 0.1928 0.1928 0.3855
```

Output
ΔE to the lowest computed polymorph ... 46 meV per atom

***

# 6
Material: Pr2Dy2In
Method: DFT, PBE
State: relaxed Values from VASP.

The structure in Quantum ESPRESSO input format:
```
&SYSTEM
  ibrav = 0, nat = 10, ntyp = 3
/
ATOMIC_SPECIES
Dy 162.50 Dy.upf
Pr 140.91 Pr.upf
In 114.82 In.upf
CELL_PARAMETERS angstrom
-4.3939 2.6415 -2.0102
3.8108 -2.0107 -3.4292
-6.1260 -10.6281 -0.5760
ATOMIC_POSITIONS crystal
Dy 0.3333 0.6667 0.2500
Dy 0.0000 0.0000 0.0000
Dy 0.6667 0.3333 0.7500
Dy 0.0000 0.0000 0.5000
Pr 0.3333 0.6667 0.5888
Pr 0.6667 0.3333 0.4112
Pr 0.6667 0.3333 0.0888
Pr 0.3333 0.6667 0.9112
In 0.0000 0.0000 0.7500
In 0.0000 0.0000 0.2500
```

Output
ΔE to the lowest computed polymorph ... 0 meV per atom

***

How do the records compare in calculated formation energy? In the order shown, they have -0.3120 -0.1326 -0.3138 -0.0538 -0.0679 -0.0496 eV/atom.